Computed, not measured: a relaxed Mn2Be4S crystal at the PBE level of DFT.

Properties
Electronic total energy (eV per cell): -31.6
Total moment (μB/f.u.): 5.91
Calculated density (g/cm³): 3.2

Cell lengths 4.007, 4.007, 6.393 Å; angles 71.74, 71.74, 90.00 degrees
Site moments in Bohr magnetons follow the coordinates.
Positions (direct):
Mn  0.624  0.624  0.751  3.17
Mn  0.376  0.376  0.249  3.17
Be  0.500  0.000  0.000  -0.10
Be  0.000  0.500  0.000  -0.10
Be  0.822  0.822  0.356  -0.09
Be  0.178  0.178  0.644  -0.09
S  0.000  0.000  0.000  0.10